Material: HoTm3
Method: DFT, PBE
State: relaxed

Unit cell a=3.5679 b=11.0659 c=6.1702 alpha=90.00 beta=90.00 gamma=90.00
Space group Imm2 (No. 44)
Inequivalent atoms, fractional coordinates:
Ho 0.0000 0.0000 0.0000 [2 per cell]
Tm 0.0000 0.2496 0.3333 [4 per cell]
Tm 0.0000 0.5000 0.0008 [2 per cell]

Values from the calculation:
**E_tot**: -36.01 eV for the cell shown
**Magnetization**: 0.00 μB per atom
**Formation enthalpy at 0 K**: -0.011 eV/f.u.
**Fermi-level density of states**: 1.611 states/eV per atom